Computed, not measured: an optimized crystal structure of Pt3S4 at the PBE level of DFT.

Output
As for the total magnetic moment: 3.22 μB/cell. The final energy comes out at -70.89 eV/cell. As for the symmetry: Pm-3n (223).

Unit cell a=6.555 b=6.555 c=6.555 alpha=90.00 beta=90.00 gamma=90.00
Last column: magnetic moment on the atom in μB.
Element x y z (fractional)
Pt (0.500, 0.250, 0.000)  0.13
Pt (0.500, 0.750, 0.000)  0.13
Pt (0.000, 0.500, 0.250)  0.17
Pt (0.250, 0.000, 0.500)  0.10
Pt (0.750, 0.000, 0.500)  0.10
Pt (0.000, 0.500, 0.750)  0.17
S (0.250, 0.250, 0.250)  0.17
S (0.750, 0.250, 0.250)  0.20
S (0.250, 0.750, 0.250)  0.22
S (0.750, 0.750, 0.250)  0.21
S (0.250, 0.250, 0.750)  0.21
S (0.750, 0.250, 0.750)  0.22
S (0.250, 0.750, 0.750)  0.20
S (0.750, 0.750, 0.750)  0.17

Computed, not measured: an optimized crystal structure of KBeMoIr at the PBE level of DFT.

Output
As for the total magnetic moment: 0.02 μB/cell. The final energy comes out at -19.63 eV/cell. As for the symmetry: F-43m (216). The energy above the most stable polymorph in this dataset is 1.09 eV per formula unit.

Unit cell a=4.579 b=4.579 c=4.579 alpha=60.00 beta=60.00 gamma=60.00
Element x y z (fractional)
Be (0.750, 0.750, 0.750)
Ir (0.250, 0.250, 0.250)
K (0.500, 0.500, 0.500)
Mo (0.000, 0.000, 0.000)

Computed, not measured: an optimized crystal structure of Er2Si4Mo3 at the PBE level of DFT.

Output
As for the total magnetic moment: 0.00 μB/cell. The final energy comes out at -139.12 eV/cell. As for the symmetry: P2_1/c (14).

Unit cell a=6.838 b=6.719 c=6.903 alpha=90.00 beta=90.00 gamma=108.95
Element x y z (fractional)
Er (0.191, 0.061, 0.171)
Er (0.191, 0.561, 0.329)
Er (0.809, 0.439, 0.671)
Er (0.809, 0.939, 0.829)
Mo (0.500, 0.500, 0.000)
Mo (0.752, 0.251, 0.163)
Mo (0.752, 0.751, 0.337)
Mo (0.500, 0.000, 0.500)
Mo (0.248, 0.249, 0.663)
Mo (0.248, 0.749, 0.837)
Si (0.911, 0.634, 0.044)
Si (0.504, 0.871, 0.131)
Si (0.504, 0.371, 0.369)
Si (0.911, 0.134, 0.456)
Si (0.089, 0.866, 0.544)
Si (0.496, 0.629, 0.631)
Si (0.496, 0.129, 0.869)
Si (0.089, 0.366, 0.956)

Computed, not measured: an optimized crystal structure of LaPPdO at the PBE level of DFT.

Output
As for the total magnetic moment: 0.01 μB/cell. The final energy comes out at -53.80 eV/cell. As for the symmetry: Pmc2_1 (26). The energy above the most stable polymorph in this dataset is 1.34 eV per formula unit.

Unit cell a=4.677 b=4.186 c=7.144 alpha=90.00 beta=90.00 gamma=90.00
Element x y z (fractional)
La (0.500, 0.242, 0.102)
La (0.500, 0.758, 0.602)
O (0.500, 0.259, 0.437)
O (0.500, 0.741, 0.937)
P (0.000, 0.759, 0.275)
P (0.000, 0.241, 0.775)
Pd (0.000, 0.260, 0.440)
Pd (0.000, 0.740, 0.940)

Computed, not measured: an optimized crystal structure of PuMgAl at the PBE level of DFT.

Output
As for the total magnetic moment: 6.27 μB/cell. The final energy comes out at -17.54 eV/cell. As for the symmetry: F-43m (216).

Unit cell a=4.955 b=4.955 c=4.955 alpha=60.00 beta=60.00 gamma=60.00
Last column: magnetic moment on the atom in μB.
Element x y z (fractional)
Al (0.500, 0.500, 0.500)  0.04
Mg (0.000, 0.000, 0.000)  0.03
Pu (0.250, 0.250, 0.250)  5.53

Computed, not measured: an optimized crystal structure of Er3Ni at the PBE level of DFT.

Output
The formation enthalpy at 0 K is 0.164 eV/atom. As for the total magnetic moment: 0.00 μB/cell. The final energy comes out at -18.60 eV/cell. As for the symmetry: Fm-3m (225).

Unit cell a=5.175 b=5.175 c=5.175 alpha=60.00 beta=60.00 gamma=60.00
Element x y z (fractional)
Er (0.000, 0.000, 0.000)
Er (0.250, 0.250, 0.250)
Er (0.500, 0.500, 0.500)
Ni (0.750, 0.750, 0.750)

Computed, not measured: an optimized crystal structure of Er2Ga4CoCu at the PBE level of DFT.

Output
As for the total magnetic moment: 0.01 μB/cell. The final energy comes out at -36.32 eV/cell. As for the symmetry: Amm2 (38).

Unit cell a=6.690 b=5.425 c=5.425 alpha=44.39 beta=90.00 gamma=90.00
Element x y z (fractional)
Co (0.000, 0.791, 0.791)
Cu (0.500, 0.212, 0.212)
Er (0.000, 0.071, 0.071)
Er (0.500, 0.926, 0.926)
Ga (0.194, 0.360, 0.360)
Ga (0.806, 0.360, 0.360)
Ga (0.300, 0.640, 0.640)
Ga (0.700, 0.640, 0.640)

Computed, not measured: an optimized crystal structure of Hf15SiO32 at the PBE level of DFT.

Output
As for the total magnetic moment: 0.00 μB/cell. The final energy comes out at -479.43 eV/cell. As for the symmetry: P1 (1). The energy above the most stable polymorph in this dataset is 0.00 eV per formula unit.

Unit cell a=6.741 b=7.899 c=10.189 alpha=90.35 beta=90.80 gamma=92.54
Element x y z (fractional)
Hf (0.892, 0.590, 0.104)
Hf (0.387, 0.097, 0.105)
Hf (0.871, 0.154, 0.148)
Hf (0.382, 0.663, 0.151)
Hf (0.618, 0.416, 0.353)
Hf (0.122, 0.906, 0.359)
Hf (0.135, 0.348, 0.395)
Hf (0.375, 0.091, 0.600)
Hf (0.879, 0.598, 0.603)
Hf (0.860, 0.150, 0.639)
Hf (0.367, 0.665, 0.641)
Hf (0.618, 0.404, 0.850)
Hf (0.120, 0.908, 0.856)
Hf (0.133, 0.343, 0.893)
Hf (0.635, 0.839, 0.897)
O (0.591, 0.608, 0.002)
O (0.089, 0.112, 0.002)
O (0.341, 0.862, 0.007)
O (0.174, 0.523, 0.033)
O (0.667, 0.021, 0.036)
O (0.100, 0.732, 0.215)
O (0.591, 0.229, 0.217)
O (0.165, 0.129, 0.247)
O (0.677, 0.645, 0.247)
O (0.918, 0.388, 0.253)
O (0.338, 0.472, 0.278)
O (0.826, 0.970, 0.288)
O (0.443, 0.876, 0.289)
O (0.898, 0.776, 0.458)
O (0.416, 0.284, 0.470)
O (0.578, 0.650, 0.487)
O (0.079, 0.123, 0.497)
O (0.825, 0.368, 0.500)
O (0.648, 0.999, 0.515)
O (0.282, 0.864, 0.522)
O (0.157, 0.532, 0.528)
O (0.587, 0.215, 0.714)
O (0.081, 0.717, 0.724)
O (0.659, 0.634, 0.742)
O (0.156, 0.134, 0.743)
O (0.908, 0.383, 0.750)
O (0.411, 0.888, 0.760)
O (0.336, 0.471, 0.777)
O (0.834, 0.969, 0.779)
O (0.417, 0.267, 0.963)
O (0.918, 0.773, 0.968)
O (0.840, 0.359, 0.997)
Si (0.668, 0.845, 0.390)

Please write out number 4 again, unchanged.
Computed, not measured: an optimized crystal structure of LaPPdO at the PBE level of DFT.

Output
As for the total magnetic moment: 0.01 μB/cell. The final energy comes out at -53.80 eV/cell. As for the symmetry: Pmc2_1 (26). The energy above the most stable polymorph in this dataset is 1.34 eV per formula unit.

Unit cell a=4.677 b=4.186 c=7.144 alpha=90.00 beta=90.00 gamma=90.00
Element x y z (fractional)
La (0.500, 0.242, 0.102)
La (0.500, 0.758, 0.602)
O (0.500, 0.259, 0.437)
O (0.500, 0.741, 0.937)
P (0.000, 0.759, 0.275)
P (0.000, 0.241, 0.775)
Pd (0.000, 0.260, 0.440)
Pd (0.000, 0.740, 0.940)